# 1
The following is a DFT calculation (PBE) of a geometry-optimized HgPd2Au2 structure.

```
HgPd2Au2
1.0
3.7817 0.0000 0.0000
0.0000 3.7817 0.0000
1.8909 1.8909 6.8080
Au Pd Hg
2 2 1
Direct
0.6004 0.6004 0.7992
0.3996 0.3996 0.2008
0.7500 0.2500 0.5000
0.2500 0.7500 0.5000
0.0000 0.0000 0.0000
```

## Properties
As for the space-group type: I4/mmm (139). For the energy relative to the lowest polymorph listed for this composition, the calculation gives 226 meV/atom. The calculation puts the energy at -16.40 eV/cell. The value obtained for the theoretical density is 13.8 g cm⁻³.



# 2
The following is a DFT calculation (PBE) of a geometry-optimized Hg3Pd12Au structure.

```
Hg3Pd12Au
1.0
-2.8756 -2.8151 0.1704
2.5813 -2.7252 -1.4609
4.5872 -3.7695 15.1370
Pd Au Hg
12 1 3
Direct
0.0000 0.5000 0.8776
0.5000 0.0000 0.6261
0.5000 0.5000 0.2473
0.5000 0.0000 0.1224
0.0000 0.5000 0.1224
0.5000 0.0000 0.3739
0.5000 0.5000 0.5000
0.5000 0.0000 0.8776
0.5000 0.5000 0.7527
0.5000 0.5000 0.0000
0.0000 0.5000 0.6261
0.0000 0.5000 0.3739
0.0000 0.0000 0.0000
0.0000 0.0000 0.2483
0.0000 0.0000 0.7517
0.0000 0.0000 0.5000
```

## Properties
As for the space-group type: P4/mmm (123). The calculation puts the energy at -67.90 eV/cell. The value obtained for the theoretical density is 13.1 g cm⁻³.



# 3
The following is a DFT calculation (PBE) of a geometry-optimized Hg4Pd5Au2 structure.

```
Hg4Pd5Au2
1.0
2.8813 0.0000 0.0000
0.0000 7.5130 0.0000
-1.4407 -3.7565 11.5318
Pd Au Hg
5 2 4
Direct
0.5000 0.0000 0.0000
0.2030 0.3849 0.4061
0.2030 0.0212 0.4061
0.7970 0.9788 0.5939
0.7970 0.6151 0.5939
0.8984 0.8984 0.7969
0.1016 0.1016 0.2031
0.0000 0.3149 0.0000
0.0000 0.6851 0.0000
0.3156 0.3156 0.6312
0.6844 0.6844 0.3688
```

## Properties
As for the space-group type: Immm (71). The calculation puts the energy at -32.45 eV/cell. The value obtained for the theoretical density is 11.5 g cm⁻³.



# 4
The following is a DFT calculation (PBE) of a geometry-optimized Hg2Pd5Au2 structure.

```
Hg2Pd5Au2
1.0
-0.5545 4.3233 -2.1012
-5.3743 -1.6917 0.7784
4.4699 2.6802 5.5639
Pd Hg Au
5 2 2
Direct
0.0000 0.0000 0.0000
0.1978 0.5959 0.3950
0.8022 0.4041 0.6050
0.3929 0.2100 0.8056
0.6071 0.7900 0.1944
0.7960 0.9156 0.6133
0.2040 0.0844 0.3867
0.3922 0.6999 0.8070
0.6078 0.3001 0.1930
```

## Properties
As for the space-group type: P-1 (2). For the energy relative to the lowest polymorph listed for this composition, the calculation gives 4 meV/atom. The calculation puts the energy at -33.26 eV/cell. The value obtained for the theoretical density is 13.4 g cm⁻³.



# 5
The following is a DFT calculation (PBE) of a geometry-optimized Hg2PdAu2 structure.

```
Hg2PdAu2
1.0
-3.7050 -0.1244 -0.7780
0.7874 -0.4617 -3.6762
-1.4084 -7.6168 -1.2965
Hg Au Pd
2 2 1
Direct
0.5955 0.5955 0.8090
0.4045 0.4045 0.1910
0.2500 0.7500 0.5000
0.7500 0.2500 0.5000
0.0000 0.0000 0.0000
```

## Properties
As for the space-group type: I4/mmm (139). For the energy relative to the lowest polymorph listed for this composition, the calculation gives 107 meV/atom. The calculation puts the energy at -11.80 eV/cell. The value obtained for the theoretical density is 14.1 g cm⁻³.



# 6
The following is a DFT calculation (PBE) of a geometry-optimized HgPd3Au structure.

```
HgPd3Au
1.0
9.1605 0.8370 0.6588
3.0352 6.4825 -0.0230
3.0352 1.5008 6.3064
Pd Au Hg
12 4 4
Direct
0.9406 0.8972 0.2609
0.0594 0.1028 0.7391
0.5873 0.9455 0.6390
0.1002 0.2993 0.2968
0.8998 0.7007 0.7032
0.0873 0.6390 0.9455
0.4127 0.0545 0.3610
0.6002 0.2968 0.2993
0.5594 0.7391 0.1028
0.4406 0.2609 0.8972
0.9127 0.3610 0.0545
0.3998 0.7032 0.7007
0.6960 0.4569 0.8269
0.8040 0.1731 0.5431
0.1960 0.8269 0.4569
0.3040 0.5431 0.1731
0.7500 0.6308 0.3692
0.2500 0.3692 0.6308
0.7500 0.0019 0.9981
0.2500 0.9981 0.0019
```

## Properties
As for the space-group type: C2/c (15). For the energy relative to the lowest polymorph listed for this composition, the calculation gives 0 meV/atom. The calculation puts the energy at -77.24 eV/cell. The value obtained for the theoretical density is 13.7 g cm⁻³.



# 7
The following is a DFT calculation (PBE) of a geometry-optimized HgPd2Au5 structure.

```
HgPd2Au5
1.0
-0.4779 -3.5941 1.9626
4.4048 -2.2921 -3.1251
7.6141 3.4615 8.1931
Au Pd Hg
10 4 2
Direct
0.0000 0.5148 0.2514
0.0000 0.0148 0.2486
0.5000 0.7637 0.1284
0.0000 0.4852 0.7486
0.0000 0.9852 0.7514
0.5000 0.2637 0.3716
0.5000 0.7363 0.6284
0.0000 0.0000 0.0000
0.5000 0.2363 0.8716
0.0000 0.5000 0.5000
0.5000 0.2400 0.6233
0.5000 0.7600 0.3767
0.5000 0.7400 0.8767
0.5000 0.2600 0.1233
0.0000 0.5000 0.0000
0.0000 0.0000 0.5000
```

## Properties
As for the space-group type: Pbam (55). The calculation puts the energy at -55.43 eV/cell. The value obtained for the theoretical density is 16.4 g cm⁻³.



# 8
The following is a DFT calculation (PBE) of a geometry-optimized HgPdAu2 structure.

```
HgPdAu2
1.0
4.2639 0.0000 0.0000
0.0000 4.1152 0.0000
0.0000 0.0000 4.1152
Au Hg Pd
2 1 1
Direct
0.0000 0.0000 0.5000
0.0000 0.5000 0.0000
0.5000 0.5000 0.5000
0.5000 0.0000 0.0000
```

## Properties
As for the space-group type: P4/mmm (123). The calculation puts the energy at -12.41 eV/cell. The value obtained for the theoretical density is 16.1 g cm⁻³.



# 9
The following is a DFT calculation (PBE) of a geometry-optimized HgPd8Au2 structure.

```
HgPd8Au2
1.0
-1.0396 3.4503 3.1257
-6.5171 -1.3940 1.5046
1.2867 -3.0801 5.9613
Au Pd Hg
2 8 1
Direct
0.5596 0.8453 0.8453
0.4404 0.1547 0.1547
0.7114 0.5690 0.5690
0.2088 0.8286 0.3331
0.7912 0.1714 0.6669
0.1294 0.7171 0.7171
0.8706 0.2829 0.2829
0.2088 0.3331 0.8286
0.2886 0.4310 0.4310
0.7912 0.6669 0.1714
0.0000 0.0000 0.0000
```

## Properties
As for the space-group type: C2/m (12). For the energy relative to the lowest polymorph listed for this composition, the calculation gives 405 meV/atom. The calculation puts the energy at -44.77 eV/cell. The value obtained for the theoretical density is 11.3 g cm⁻³.



# 10
The following is a DFT calculation (PBE) of a geometry-optimized HgPd4Au5 structure.

```
HgPd4Au5
1.0
-3.0743 1.7312 -3.2874
-4.2471 -3.8875 0.2915
-0.8615 3.7631 5.4806
Au Pd Hg
5 4 1
Direct
0.7041 0.8027 0.4078
0.5000 0.5000 0.0000
0.2959 0.1973 0.5922
0.0967 0.4012 0.2045
0.9033 0.5988 0.7955
0.8995 0.1033 0.7999
0.6972 0.3006 0.3998
0.1005 0.8967 0.2001
0.3028 0.6994 0.6002
0.5000 0.0000 0.0000
```

## Properties
As for the space-group type: P-1 (2). For the energy relative to the lowest polymorph listed for this composition, the calculation gives 0 meV/atom. The calculation puts the energy at -38.41 eV/cell. The value obtained for the theoretical density is 15.5 g cm⁻³.



# 11
The following is a DFT calculation (PBE) of a geometry-optimized HgPd4Au2 structure.

```
HgPd4Au2
1.0
-0.2797 4.1861 -2.7422
-3.8500 1.5746 2.7964
2.1669 5.8751 4.1669
Au Pd Hg
2 4 1
Direct
0.6035 0.6035 0.7930
0.3965 0.3965 0.2070
0.0000 0.5000 0.0000
0.8005 0.8005 0.3990
0.5000 0.0000 0.0000
0.1995 0.1995 0.6010
0.0000 0.0000 0.0000
```

## Properties
As for the space-group type: I4/mmm (139). For the energy relative to the lowest polymorph listed for this composition, the calculation gives 750 meV/atom. The calculation puts the energy at -22.51 eV/cell. The value obtained for the theoretical density is 10.2 g cm⁻³.



# 12
The following is a DFT calculation (PBE) of a geometry-optimized HgPd3Au structure.

```
HgPd3Au
1.0
-5.4301 0.3486 -0.8293
-0.7211 -7.3635 1.6262
-1.1888 1.9388 8.5987
Pd Hg Au
12 4 4
Direct
0.2501 0.5846 0.1245
0.5072 0.2559 0.6268
0.7501 0.4154 0.3755
0.0072 0.7441 0.8732
0.9928 0.2559 0.1268
0.7499 0.4154 0.8755
0.0072 0.7441 0.3732
0.4928 0.7441 0.3732
0.2499 0.5846 0.6245
0.9928 0.2559 0.6268
0.5072 0.2559 0.1268
0.4928 0.7441 0.8732
0.2499 0.9432 0.1219
0.7499 0.0568 0.3781
0.7501 0.0568 0.8781
0.2501 0.9432 0.6219
0.7501 0.6320 0.1240
0.2501 0.3680 0.3760
0.7499 0.6320 0.6240
0.2499 0.3680 0.8760
```

## Properties
As for the space-group type: P2_1/m (11). For the energy relative to the lowest polymorph listed for this composition, the calculation gives 37 meV/atom. The calculation puts the energy at -76.51 eV/cell. The value obtained for the theoretical density is 12.8 g cm⁻³.



DFT formation energy readings, ordered: 0.84 -1.41 1.28 -0.14 0.56 -0.15 -0.64 -0.36 3.63 -0.95 5.12 0.03 eV/f.u.